CaZnIO2 | PBE | relaxed

a b c (Å): 4.2928 4.2928 6.6108
angles (deg): 90.00 90.00 90.00
Last column: nearest neighbours and their distance in Å.
Fractional coordinates of all 5 atoms:
Ca1 0.0000 0.0000 0.0000  4 O 2.15
Zn1 0.5000 0.5000 0.5000  4 I 3.04
I1 0.0000 0.0000 0.5000  4 Zn 3.04, 2 Ca 3.31
O1 0.0000 0.5000 0.0000  2 Ca 2.15
O2 0.5000 0.0000 0.0000  2 Ca 2.15

**Magnetization**: 0.00 μB/f.u.
**Crystal system**: tetragonal
**Uncorrected formation energy**: -0.4736 eV/atom
**Total energy**: -3.422 eV/atom
**Relative energy among the computed polymorphs**: 1.512 eV/f.u.